LaCd4 | PBE | relaxed

a = 6.381 Å, b = 6.381 Å, c = 6.381 Å
α = 109.47°, β = 109.47°, γ = 109.47°
Atoms (fractional coordinates):
1 La 0.000 0.000 0.000
2 Cd 0.000 0.000 0.500
3 Cd 0.000 0.500 0.000
4 Cd 0.500 0.000 0.000
5 Cd 0.500 0.500 0.500

Values from the calculation:
**Calculated density**: 4.89 g/cm3
**ΔH_f (0 K)**: 0.366 eV per atom